# Na3Li3Tl5

A relaxed structure of Na3Li3Tl5 (GGA-PBE, Alexandria).

abc: 8.5536 8.5536 5.5368
angles: 90.00 90.00 120.00
Space group P-62m (No. 189)
One atom of each set of equivalent atoms:
Na1 0.0000 0.4557 0.0000 x3
Li1 0.0000 0.6362 0.5000 x3
Tl1 0.0000 0.2459 0.5000 x3
Tl2 0.3333 0.6667 0.5000 x2

Calculated values
ΔH_f (0 K) in eV/f.u.: 0.15


# Pm2AgP

A relaxed structure of Pm2AgP (GGA-PBE, Alexandria).

abc: 4.1506 4.1506 21.7754
angles: 90.00 90.00 120.00
Space group R-3m (No. 166, hexagonal axes)
One atom of each set of equivalent atoms:
Pm1 0.0000 0.0000 0.2378 x6
Ag1 0.0000 0.0000 0.0000 x3
P1 0.0000 0.0000 0.5000 x3

Calculated values
ΔE to the lowest computed polymorph in meV/atom: 8
ΔH_f (0 K) in eV/f.u.: -3.27


# ErGa2BO6

A relaxed structure of ErGa2BO6 (GGA-PBE, Alexandria).

abc: 10.448 8.497 5.915
angles: 90.00 117.52 90.00
Space group C2/c (No. 15)
One atom of each set of equivalent atoms:
Er1 0.000 0.174 0.250 x4
Ga1 0.198 0.433 0.146 x8
B1 0.000 0.177 0.750 x4
O1 0.084 0.263 0.985 x8
O2 0.099 0.073 0.693 x8
O3 0.162 0.400 0.426 x8


# Zr2AlRu4

A relaxed structure of Zr2AlRu4 (GGA-PBE, Alexandria).

abc: 6.069 6.069 6.577
angles: 90.00 90.00 90.00
Space group I4/mmm (No. 139)
One atom of each set of equivalent atoms:
Zr1 0.000 0.500 0.000 x4
Al1 0.000 0.000 0.000 x2
Ru1 0.250 0.250 0.250 x8

Calculated values
ΔH_f (0 K) in eV/f.u.: -0.57


How do the records compare in total DFT energy (no corrections)? In the order shown, they have -21.38, -63.11, -285.05, -117.02 eV for the cell shown.